The following is a PBE calculation of NaMgCd2Te after structural relaxation, from Alexandria via LeMat-Bulk.

Unit cell a=5.295 b=5.295 c=5.858 alpha=90.00 beta=90.00 gamma=90.00
Positions (direct):
Na  0.000  0.000  0.000
Mg  0.000  0.000  0.500
Cd  0.000  0.500  0.000
Cd  0.500  0.000  0.000
Te  0.500  0.500  0.500

- energy relative to the elements, uncorrected (eV/atom) = 0.436